This record from the Alexandria database describes ScV2O6 after structural relaxation. The functional is GGA+U.

Computed properties:
N(E_F) ... 2.01 states/eV/cell
Total energy ... -7.5485 eV/atom

Cell: 3.114 5.458 5.458 Å, 120.00 90.00 90.00°
Sites, in units of the cell vectors:
O (0.752, 0.690, 0.085)
O (0.752, 0.915, 0.605)
O (0.752, 0.395, 0.310)
O (0.248, 0.310, 0.915)
O (0.248, 0.605, 0.690)
O (0.248, 0.085, 0.395)
Sc (0.500, 0.000, 0.000)
V (0.739, 0.333, 0.667)
V (0.261, 0.667, 0.333)